DFT (PBE) results for PmTl4F10 after structural relaxation.

total magnetic moment = 0.00 μB per formula unit
density = 7.1 Mg/m³
formation energy (no corrections) = -2.40 eV per atom
electronic total energy = -4.599 eV/atom

abc: 4.1365 4.1365 54.4515
angles: 90.00 90.00 120.00
Space group R-3m (No. 166, hexagonal axes)
Symmetry-distinct sites (fractional):
Pm (0.0000, 0.0000, 0.0000) x3
Tl (0.0000, 0.0000, 0.1966) x6
Tl (0.0000, 0.0000, 0.4028) x6
F (0.0000, 0.0000, 0.0415) x6
F (0.0000, 0.0000, 0.1534) x6
F (0.0000, 0.0000, 0.2371) x6
F (0.0000, 0.0000, 0.3415) x6
F (0.0000, 0.0000, 0.4625) x6